# 1
Here is crystalline TiMn2Tc at its relaxed geometry from Alexandria. Energies are from PBE.

The structure in POSCAR format:
```
TiMn2Tc
1.0
0.8968 -2.6313 3.1181
-3.0818 -1.6994 2.2506
-0.8689 -4.0679 -0.3846
Mn Tc Ti
2 1 1
Direct
0.2500 0.2500 0.2500
0.7500 0.7500 0.7500
0.5000 0.5000 0.5000
0.0000 0.0000 0.0000
```

Properties
**ΔE_f**: -0.505 eV/f.u.
**Size of the total moment**: 0.00 Bohr magnetons per cell
**ΔE to the lowest computed polymorph**: 10 meV per atom
**DFT total energy**: -9.276 eV per atom

# 2
Here is crystalline HfTe2AsN at its relaxed geometry from Alexandria. Energies are from PBE.

The structure in POSCAR format:
```
HfTe2AsN
1.0
-0.1590 3.3289 4.6098
4.4854 -2.7609 2.1485
2.4310 2.5703 -1.7723
As Te Hf N
1 2 1 1
Direct
0.5000 0.5000 0.5000
0.0000 0.5000 0.0000
0.5000 0.0000 0.0000
0.0000 0.0000 0.0000
0.0000 0.0000 0.5000
```

Properties
**Size of the total moment**: 0.00 Bohr magnetons per cell
**ΔE to the lowest computed polymorph**: 0 meV per atom
**Formation energy without anion corrections**: 106 kJ/mol of formula units
**DFT total energy**: -5.622 eV per atom

# 3
Here is crystalline NpTe2AuO8 at its relaxed geometry from Alexandria. Energies are from PBE.

The structure in POSCAR format:
```
NpTe2AuO8
1.0
-4.3641 -3.5704 1.5412
1.7416 -4.1841 6.3234
-2.4297 0.8681 6.2160
Np Te Au O
1 2 1 8
Direct
0.0000 0.0000 0.0000
0.2758 0.2581 0.1903
0.7242 0.7419 0.8097
0.5000 0.5000 0.5000
0.9933 0.2784 0.7350
0.6672 0.5075 0.1580
0.0067 0.7216 0.2650
0.3328 0.4925 0.8420
0.6021 0.0740 0.1956
0.3979 0.9260 0.8044
0.1283 0.0740 0.1956
0.8717 0.9260 0.8044
```

Properties
**Size of the total moment**: 0.01 Bohr magnetons per cell
**Formation energy without anion corrections**: -1606 kJ/mol of formula units
**DFT total energy**: -6.568 eV per atom